The following is a DFT calculation (PBE+U) of an optimized crystal structure of Li5CoO4. Values from VASP.

Geometry as Quantum ESPRESSO input:
```
&SYSTEM
  ibrav = 0, nat = 20, ntyp = 3
/
ATOMIC_SPECIES
Li 6.94 Li.upf
Co 58.93 Co.upf
O 16.00 O.upf
CELL_PARAMETERS angstrom
-4.487 3.039 3.518
-3.494 0.154 -5.433
-1.940 -4.173 1.129
ATOMIC_POSITIONS angstrom
Li -3.518 -0.315 2.173
Li -6.813 -0.050 -0.759
Li -6.358 2.242 -1.447
Li -6.893 0.757 1.453
Li -5.439 0.898 3.914
Li -2.160 0.094 -2.804
Li -3.560 -3.233 0.628
Li -3.105 -0.940 -0.060
Li -7.257 -2.537 -2.522
Li -3.972 1.542 -1.126
Co -4.245 2.335 1.334
Co -4.718 -1.194 -2.576
O -5.436 0.484 -2.071
O -4.821 -0.993 3.469
O -6.865 -1.101 0.854
O -7.651 1.687 -0.132
O -5.833 2.141 2.347
O -2.522 -1.938 1.606
O -4.224 -2.221 -1.065
O -3.307 0.850 0.620
```

## Properties
- M_tot (μB per formula unit) = 4.05
- crystal system = orthorhombic
- calculated total energy (eV per atom) = -5.12